DFT (PBE-GGA) results for Pm3YRh3 after structural relaxation.

Values from the calculation:
Polymorph energy (0 for the lowest one): 0 meV/atom
DFT formation energy: -0.661 eV/atom
ρ: 8.03 g cm⁻³

The structure in POSCAR format:
```
Pm3YRh3
1.0
-3.7720 1.5274 -0.9762
-4.9346 -6.6367 8.6832
1.8553 10.2743 8.9071
Pm Y Rh
12 4 12
Direct
0.7500 0.7526 0.8037 Pm
0.2500 0.7474 0.3037 Pm
0.2500 0.2474 0.1963 Pm
0.7500 0.2526 0.6963 Pm
0.7500 0.1865 0.9794 Pm
0.2500 0.3135 0.4794 Pm
0.2500 0.8135 0.0206 Pm
0.7500 0.6865 0.5206 Pm
0.7500 0.9548 0.5996 Pm
0.2500 0.5452 0.0996 Pm
0.2500 0.0452 0.4004 Pm
0.7500 0.4548 0.9004 Pm
0.7500 0.9777 0.1848 Y
0.2500 0.5223 0.6848 Y
0.2500 0.0223 0.8152 Y
0.7500 0.4777 0.3152 Y
0.7500 0.9471 0.9371 Rh
0.2500 0.5529 0.4371 Rh
0.2500 0.0529 0.0629 Rh
0.7500 0.4471 0.5629 Rh
0.7500 0.8866 0.3846 Rh
0.2500 0.6134 0.8846 Rh
0.2500 0.1134 0.6154 Rh
0.7500 0.3866 0.1154 Rh
0.7500 0.7217 0.1589 Rh
0.2500 0.7783 0.6589 Rh
0.2500 0.2783 0.8411 Rh
0.7500 0.2217 0.3411 Rh
```